*i*
An optimized crystal structure of KCd2Os2, computed with PBE.

Cell: 8.6981 8.6981 2.7822 Å, 90.00 90.00 90.00°
Last column: nearest neighbours and their distance in Å.
Fractional positions:
K 0.0000 0.0000 0.0000  2 K 2.78
K 0.5000 0.5000 0.0000  2 K 2.78
Cd 0.1910 0.3090 0.0000  2 Cd 2.78, 6 Os 2.97
Cd 0.3090 0.8090 0.0000  2 Cd 2.78, 6 Os 2.97
Cd 0.6910 0.1910 0.0000  2 Cd 2.78, 6 Os 2.97
Cd 0.8090 0.6910 0.0000  2 Cd 2.78, 6 Os 2.97
Os 0.0958 0.5958 0.5000  1 Os 2.36
Os 0.4042 0.0958 0.5000  1 Os 2.36
Os 0.5958 0.9042 0.5000  1 Os 2.36
Os 0.9042 0.4042 0.5000  1 Os 2.36

Crystal system: tetragonal
D(E_F) in states/eV/f.u.: 4.5
Space group: No. 127



*ii*
An optimized crystal structure of KCd2Os2, computed with PBE.

Cell: 10.6358 10.6358 10.6358 Å, 160.87 160.87 27.18°
Last column: nearest neighbours and their distance in Å.
Fractional positions:
K 0.0000 0.0000 0.0000  4 K 3.53, 8 Cd 3.72
Cd 0.3669 0.3669 0.0000  4 Os 2.99
Cd 0.6331 0.6331 0.0000  4 Os 2.99
Os 0.2500 0.7500 0.5000  4 Os 2.50
Os 0.7500 0.2500 0.5000  4 Os 2.50

Crystal system: tetragonal
D(E_F) in states/eV/f.u.: 4.7
Space group: No. 139



Relative energies, in meV per atom, with the most stable structure set to zero: *i* 29; *ii* 0.



*i*
An optimized crystal structure of K2Cd2P, computed with PBE.

Cell: 6.2479 6.2479 6.2479 Å, 113.67 113.67 101.37°
Last column: nearest neighbours and their distance in Å.
Fractional positions:
K 0.2500 0.7500 0.5000  4 Cd 3.46
K 0.7500 0.2500 0.5000  4 Cd 3.46
Cd 0.1790 0.1790 0.0000  1 P 2.54, 1 Cd 2.83
Cd 0.8210 0.8210 0.0000  1 P 2.54, 1 Cd 2.83
P 0.5000 0.5000 0.0000  2 Cd 2.54

Crystal system: tetragonal
D(E_F) in states/eV/f.u.: 1.3
Space group: No. 139



*ii*
An optimized crystal structure of K2Cd2P, computed with PBE.

Cell: 11.1043 11.1043 11.1043 Å, 159.22 159.22 29.55°
Last column: nearest neighbours and their distance in Å.
Fractional positions:
K 0.0859 0.0859 0.0000  4 P 3.38, 1 K 3.69
K 0.9141 0.9141 0.0000  4 P 3.38, 1 K 3.69
Cd 0.2500 0.7500 0.5000  4 Cd 2.83
Cd 0.7500 0.2500 0.5000  4 Cd 2.83
P 0.5000 0.5000 0.0000  8 K 3.38

Crystal system: tetragonal
D(E_F) in states/eV/f.u.: 3.5
Space group: No. 139



Relative energies, in meV per atom, with the most stable structure set to zero: *i* 0; *ii* 53.



*i*
An optimized crystal structure of KCd3P, computed with PBE.

Cell: 6.5336 6.5336 6.5336 Å, 90.00 90.00 90.00°
Last column: nearest neighbours and their distance in Å.
Fractional positions:
K 0.0000 0.0000 0.0000  6 Cd 3.27
Cd 0.0000 0.0000 0.5000  2 K 3.27
Cd 0.0000 0.5000 0.0000  2 K 3.27
Cd 0.5000 0.0000 0.0000  2 K 3.27
P 0.5000 0.5000 0.5000  12 Cd 4.62

Crystal system: cubic
D(E_F) in states/eV/f.u.: 6.4
Space group: No. 221



*ii*
An optimized crystal structure of KCd3P, computed with PBE.

Cell: 5.3629 5.3629 5.3629 Å, 90.00 90.00 90.00°
Last column: nearest neighbours and their distance in Å.
Fractional positions:
K 0.0000 0.0000 0.0000  12 Cd 3.79
Cd 0.0000 0.5000 0.5000  2 P 2.68
Cd 0.5000 0.0000 0.5000  2 P 2.68
Cd 0.5000 0.5000 0.0000  2 P 2.68
P 0.5000 0.5000 0.5000  6 Cd 2.68

Crystal system: cubic
D(E_F) in states/eV/f.u.: 2.2
Space group: No. 221



Relative energies, in meV per atom, with the most stable structure set to zero: *i* 831; *ii* 0.



*i*
An optimized crystal structure of KCdPb, computed with PBE.

Cell: 6.9447 6.9447 6.9447 Å, 146.14 146.14 48.64°
Last column: nearest neighbours and their distance in Å.
Fractional positions:
K 0.0000 0.0000 0.0000  5 Cd 3.71-3.96, 5 Pb 3.78-3.83, 4 K 4.04
Cd 0.6870 0.6870 0.0000  4 Pb 3.19
Pb 0.2987 0.2987 0.0000  4 Cd 3.19

Crystal system: tetragonal
D(E_F) in states/eV/f.u.: 1.4
Space group: No. 107



*ii*
An optimized crystal structure of KCdPb, computed with PBE.

Cell: 5.3224 5.3224 4.0652 Å, 90.00 90.00 120.00°
Last column: nearest neighbours and their distance in Å.
Fractional positions:
K 0.0000 0.0000 0.0000  6 Cd 3.68, 6 Pb 3.68, 2 K 4.07
Cd 0.3333 0.6667 0.5000  3 Pb 3.07
Pb 0.6667 0.3333 0.5000  3 Cd 3.07

Crystal system: hexagonal
D(E_F) in states/eV/f.u.: 0.9
Space group: No. 187



*iii*
An optimized crystal structure of KCdPb, computed with PBE.

Cell: 8.7005 5.1956 8.9483 Å, 90.00 90.00 90.00°
Last column: nearest neighbours and their distance in Å.
Fractional positions:
K 0.0026 0.2500 0.1848  6 Cd 3.64-3.96, 6 Pb 3.64-3.94
K 0.4974 0.7500 0.6848  6 Cd 3.64-3.96, 6 Pb 3.64-3.94
K 0.5026 0.2500 0.3152  6 Cd 3.64-3.96, 6 Pb 3.64-3.94
K 0.9974 0.7500 0.8152  6 Cd 3.64-3.96, 6 Pb 3.64-3.94
Cd 0.1816 0.7500 0.4109  4 Pb 3.06-3.14
Cd 0.3184 0.2500 0.9109  4 Pb 3.06-3.14
Cd 0.6816 0.7500 0.0891  4 Pb 3.06-3.14
Cd 0.8184 0.2500 0.5891  4 Pb 3.06-3.14
Pb 0.1788 0.2500 0.5907  4 Cd 3.06-3.14
Pb 0.3212 0.7500 0.0907  4 Cd 3.06-3.14
Pb 0.6788 0.2500 0.9093  4 Cd 3.06-3.14
Pb 0.8212 0.7500 0.4093  4 Cd 3.06-3.14

Crystal system: orthorhombic
D(E_F) in states/eV/f.u.: 2.2
Space group: No. 62



*iv*
An optimized crystal structure of KCdPb, computed with PBE.

Cell: 5.5287 5.5287 5.5287 Å, 60.00 60.00 60.00°
Last column: nearest neighbours and their distance in Å.
Fractional positions:
K 0.0000 0.0000 0.0000  4 Cd 3.39, 4 Pb 3.39
Cd 0.2500 0.2500 0.2500  4 K 3.39
Pb 0.7500 0.7500 0.7500  4 K 3.39

Crystal system: cubic
D(E_F) in states/eV/f.u.: 4.4
Space group: No. 216



Relative energies, in meV per atom, with the most stable structure set to zero: *i* 110; *ii* 22; *iii* 0; *iv* 567.



*i*
An optimized crystal structure of KCdPb, computed with PBE.

Cell: 3.6349 3.6349 8.6586 Å, 90.00 90.00 120.00°
Last column: nearest neighbours and their distance in Å.
Fractional positions:
K 0.0000 0.0000 0.0000  3 Cd 3.58, 6 K 3.63, 3 Pb 3.78
Cd 0.6667 0.3333 0.6645  3 Pb 3.35, 3 K 3.58, 6 Cd 3.63
Pb 0.3333 0.6667 0.3634  3 Cd 3.35, 6 Pb 3.63

Crystal system: trigonal
D(E_F) in states/eV/f.u.: 1.9
Space group: No. 156



*ii*
An optimized crystal structure of KCdPb, computed with PBE.

Cell: 4.7640 6.8358 7.6250 Å, 71.48 71.86 69.62°
Last column: nearest neighbours and their distance in Å.
Fractional positions:
K 0.0766 0.1451 0.2013  5 Cd 3.56-3.78, 2 Pb 3.82
K 0.9234 0.8549 0.7987  5 Cd 3.56-3.78, 2 Pb 3.82
Cd 0.3806 0.5631 0.1756  1 Cd 2.85, 3 Pb 3.01-3.16
Cd 0.6194 0.4369 0.8244  1 Cd 2.85, 3 Pb 3.01-3.16
Pb 0.3015 0.3131 0.5834  3 Cd 3.01-3.16
Pb 0.6985 0.6869 0.4166  3 Cd 3.01-3.16

Crystal system: triclinic
D(E_F) in states/eV/f.u.: 1.1
Space group: No. 2



Relative energies, in meV per atom, with the most stable structure set to zero: *i* 209; *ii* 0.



*i*
An optimized crystal structure of K3CdPb, computed with PBE.

Cell: 6.5264 6.5264 11.9702 Å, 90.00 90.00 123.78°
Last column: nearest neighbours and their distance in Å.
Fractional positions:
K 0.1177 0.8823 0.7500  3 Pb 3.69-3.71, 2 K 3.97
K 0.1841 0.8159 0.0904  3 Cd 3.79-3.89, 5 K 3.82-4.15, 2 Pb 3.88
K 0.1841 0.8159 0.4096  3 Cd 3.79-3.89, 5 K 3.82-4.15, 2 Pb 3.88
K 0.8159 0.1841 0.5904  3 Cd 3.79-3.89, 5 K 3.82-4.15, 2 Pb 3.88
K 0.8159 0.1841 0.9096  3 Cd 3.79-3.89, 5 K 3.82-4.15, 2 Pb 3.88
K 0.8823 0.1177 0.2500  3 Pb 3.69-3.71, 2 K 3.97
Cd 0.5000 0.5000 0.0000  2 Pb 3.08
Cd 0.5000 0.5000 0.5000  2 Pb 3.08
Pb 0.4381 0.5619 0.7500  2 Cd 3.08
Pb 0.5619 0.4381 0.2500  2 Cd 3.08

Crystal system: orthorhombic
D(E_F) in states/eV/f.u.: 2.7
Space group: No. 63



*ii*
An optimized crystal structure of K3CdPb, computed with PBE.

Cell: 8.0998 8.0998 9.0609 Å, 116.85 116.85 80.27°
Last column: nearest neighbours and their distance in Å.
Fractional positions:
K 0.0275 0.0275 0.2582  1 Pb 3.64, 1 Cd 3.64, 2 K 4.01
K 0.0771 0.4836 0.7716  2 Cd 3.63-3.70, 2 Pb 3.76-3.88, 1 K 4.01
K 0.4836 0.0771 0.7716  2 Cd 3.63-3.70, 2 Pb 3.76-3.88, 1 K 4.01
K 0.5164 0.9229 0.2284  2 Cd 3.63-3.70, 2 Pb 3.76-3.88, 1 K 4.01
K 0.9229 0.5164 0.2284  2 Cd 3.63-3.70, 2 Pb 3.76-3.88, 1 K 4.01
K 0.9725 0.9725 0.7418  1 Pb 3.64, 1 Cd 3.64, 2 K 4.01
Cd 0.3221 0.3221 0.1367  2 Pb 2.98-3.23
Cd 0.6779 0.6779 0.8633  2 Pb 2.98-3.23
Pb 0.3914 0.3914 0.5407  2 Cd 2.98-3.23, 1 Pb 3.18
Pb 0.6086 0.6086 0.4593  2 Cd 2.98-3.23, 1 Pb 3.18

Crystal system: monoclinic
D(E_F) in states/eV/f.u.: 2.3
Space group: No. 12



*iii*
An optimized crystal structure of K3CdPb, computed with PBE.

Cell: 6.8605 6.8605 6.8605 Å, 90.00 90.00 90.00°
Last column: nearest neighbours and their distance in Å.
Fractional positions:
K 0.0000 0.0000 0.5000  2 Pb 3.43
K 0.0000 0.5000 0.0000  2 Pb 3.43
K 0.5000 0.0000 0.0000  2 Pb 3.43
Cd 0.5000 0.5000 0.5000  12 K 4.85
Pb 0.0000 0.0000 0.0000  6 K 3.43

Crystal system: cubic
D(E_F) in states/eV/f.u.: 1.9
Space group: No. 221



Relative energies, in meV per atom, with the most stable structure set to zero: *i* 0; *ii* 72; *iii* 243.